VASP calculation (PBE with a Hubbard U) on a relaxed structure of K2CoPtO4.

a = 5.800 Å, b = 7.319 Å, c = 9.927 Å
α = 83.35°, β = 73.01°, γ = 66.66°
Fractional positions:
K (0.175, 0.000, 0.651)
K (0.825, 0.000, 0.349)
K (0.575, 0.500, 0.849)
K (0.925, 0.500, 0.151)
Co (0.250, 0.500, 0.500)
Co (0.500, 0.000, 0.000)
Pt (0.750, 0.500, 0.500)
Pt (0.000, 0.000, 0.000)
O (0.360, 0.815, 0.002)
O (0.177, 0.185, 0.998)
O (0.825, 0.815, 0.998)
O (0.638, 0.185, 0.002)
O (0.390, 0.685, 0.498)
O (0.573, 0.315, 0.502)
O (0.925, 0.685, 0.502)
O (0.112, 0.315, 0.498)

Calculated values
Energy = -82.1 eV for the cell shown
SG = Fddd
M_tot = 1.923 μB/cell